Pm2Tl2RhO6, optimized geometry, DFT PBE; calculated volume = 199 Å³ per cell
1.0
2.9696 -5.1591 0.0000
2.9696 5.1591 0.0000
-1.6047 0.0000 6.4819
Pm Tl Rh O
2 2 1 6
Cartesian
2.9696 3.4622 0.0000 Pm
2.9696 -3.4622 0.0000 Pm
2.1672 1.6376 3.2409 Tl
2.1672 -1.6376 3.2409 Tl
2.9696 0.0000 0.0000 Rh
0.4811 1.5649 5.4085 O
1.2518 0.0000 1.1688 O
0.4811 -1.5649 5.4085 O
3.8534 1.5649 1.0733 O
3.0827 0.0000 5.3131 O
3.8534 -1.5649 1.0733 O

---

LaPr2Pu, optimized geometry, DFT PBE; calculated volume = 139 Å³ per cell; E above lowest polymorph = 150.3 meV/atom
1.0
1.7804 1.0279 12.6796
-1.7804 1.0279 12.6796
0.0000 -2.0558 12.6796
La Pr Pu
1 2 1
Cartesian
0.0000 0.0000 0.0000 La
0.0000 0.0000 15.7237 Pr
0.0000 0.0000 22.3149 Pr
0.0000 0.0000 19.0193 Pu

---

Ho6InS4, optimized geometry, DFT PBE; calculated volume = 510 Å³ per cell
1.0
1.9533 -6.5275 0.0000
1.9533 6.5275 0.0000
0.0000 0.0000 19.9804
Ho In S
12 2 8
Cartesian
0.0000 0.0000 0.0000 Ho
0.0000 0.0000 9.9902 Ho
1.9533 4.5559 14.9853 Ho
1.9533 2.9837 1.6845 Ho
1.9533 2.9837 8.3057 Ho
1.9533 0.5159 13.1404 Ho
1.9533 0.5159 16.8302 Ho
1.9533 -0.5159 3.1502 Ho
1.9533 -0.5159 6.8400 Ho
1.9533 -2.9837 11.6747 Ho
1.9533 -2.9837 18.2959 Ho
1.9533 -4.5559 4.9951 Ho
1.9533 4.3736 4.9951 In
1.9533 -4.3736 14.9853 In
1.9533 5.3047 12.4080 S
1.9533 5.3047 17.5626 S
1.9533 1.7994 10.7713 S
1.9533 1.7994 19.1993 S
1.9533 -1.7994 0.7811 S
1.9533 -1.7994 9.2091 S
1.9533 -5.3047 2.4178 S
1.9533 -5.3047 7.5724 S

---

Zn2SiAg, optimized geometry, DFT PBE; calculated volume = 64 Å³ per cell
1.0
4.6840 -1.5192 0.0000
4.6840 1.5192 0.0000
-0.4043 0.0000 4.5263
Zn Si Ag
2 1 1
Cartesian
0.0000 0.0000 0.0000 Zn
2.0018 0.0000 3.3979 Zn
6.9648 0.0000 1.1081 Si
4.4935 0.0000 2.2669 Ag

---

Computed total DFT energy (no corrections) (eV per cell) in order:
-70.7 -27.7 -127.6 -10.2